Entry 1:
Compound: Ba3Li
Source: Alexandria via LeMat-Bulk
Functional: PBE
Structure: relaxed

Unit cell a=4.407 b=4.407 c=11.001 alpha=90.00 beta=90.00 gamma=90.00
Space group P4/mmm (No. 123)
Inequivalent atoms, fractional coordinates:
Ba 0.000 0.000 0.000 [1 per cell]
Ba 0.500 0.500 0.306 [2 per cell]
Li 0.000 0.000 0.500 [1 per cell]

Energy of formation, eV per atom: 0.0288
Fermi-level density of states, states/eV per atom: 1.244
Raw total energy, eV/atom: -1.89

Entry 2:
Compound: BaLi
Source: Alexandria via LeMat-Bulk
Functional: PBE
Structure: relaxed

Unit cell a=14.644 b=4.277 c=8.577 alpha=90.00 beta=108.39 gamma=90.00
Space group Cm (No. 8)
Inequivalent atoms, fractional coordinates:
Ba 0.000 0.000 0.000 [2 per cell]
Ba 0.001 0.000 0.526 [2 per cell]
Ba 0.216 0.500 0.371 [2 per cell]
Li 0.200 0.500 0.875 [2 per cell]
Li 0.306 0.000 0.732 [2 per cell]
Li 0.326 0.000 0.128 [2 per cell]

Energy of formation, eV per atom: 0.0816
Distance to the lowest polymorph of the same formula, meV per atom: 38.7
Fermi-level density of states, states/eV per atom: 1.001
Raw total energy, eV/atom: -1.84

Entry 3:
Compound: Ba2Li
Source: Alexandria via LeMat-Bulk
Functional: PBE
Structure: relaxed

Unit cell a=4.488 b=8.760 c=8.780 alpha=90.00 beta=89.91 gamma=89.99
Space group P-1 (No. 2)
Inequivalent atoms, fractional coordinates:
Ba 0.001 0.225 0.277 [2 per cell]
Ba 0.499 0.722 0.226 [2 per cell]
Li 0.000 0.500 0.000 [1 per cell]
Li 0.500 0.000 0.500 [1 per cell]

Energy of formation, eV per atom: 0.2113
Distance to the lowest polymorph of the same formula, meV per atom: 180.1
Fermi-level density of states, states/eV per atom: 1.378
Raw total energy, eV/atom: -1.71

Entry 4:
Compound: BaLi2
Source: Alexandria via LeMat-Bulk
Functional: PBE
Structure: relaxed

Unit cell a=5.029 b=5.029 c=18.049 alpha=90.00 beta=90.00 gamma=90.00
Space group I4_1/amd (No. 141, origin choice 2)
Inequivalent atoms, fractional coordinates:
Ba 0.000 0.250 0.375 [4 per cell]
Li 0.000 0.250 0.792 [8 per cell]

Energy of formation, eV per atom: 0.0685
Fermi-level density of states, states/eV per atom: 0.762
Raw total energy, eV/atom: -1.85

Entry 5:
Compound: Ba2Li
Source: Alexandria via LeMat-Bulk
Functional: PBE
Structure: relaxed

Unit cell a=10.1089 b=10.1089 c=5.1106 alpha=90.00 beta=90.00 gamma=120.00
Space group P-62m (No. 189)
Inequivalent atoms, fractional coordinates:
Ba 0.0000 0.2553 0.0000 [3 per cell]
Ba 0.0000 0.5946 0.5000 [3 per cell]
Li 0.0000 0.0000 0.5000 [1 per cell]
Li 0.3333 0.6667 0.0000 [2 per cell]

Energy of formation, eV per atom: 0.0476
Distance to the lowest polymorph of the same formula, meV per atom: 16.4
Fermi-level density of states, states/eV per atom: 1.077
Raw total energy, eV/atom: -1.87

Entry 6:
Compound: Ba6Li
Source: Alexandria via LeMat-Bulk
Functional: PBE
Structure: relaxed

Unit cell a=9.673 b=9.673 c=9.673 alpha=90.00 beta=90.00 gamma=90.00
Space group Im-3m (No. 229)
Inequivalent atoms, fractional coordinates:
Ba 0.000 0.250 0.500 [12 per cell]
Li 0.000 0.000 0.000 [2 per cell]

Energy of formation, eV per atom: 0.9720
Fermi-level density of states, states/eV per atom: 1.649
Raw total energy, eV/atom: -0.95

What did the sixth record say?
Compound: Ba6Li
Source: Alexandria via LeMat-Bulk
Functional: PBE
Structure: relaxed

Unit cell a=9.673 b=9.673 c=9.673 alpha=90.00 beta=90.00 gamma=90.00
Space group Im-3m (No. 229)
Inequivalent atoms, fractional coordinates:
Ba 0.000 0.250 0.500 [12 per cell]
Li 0.000 0.000 0.000 [2 per cell]

Energy of formation, eV per atom: 0.9720
Fermi-level density of states, states/eV per atom: 1.649
Raw total energy, eV/atom: -0.95

> The lowest Fermi-level density of states belongs to which entry?

BaLi2